Compound: Ca3CdAu
Source: the Alexandria database
Functional: GGA-PBEsol
Structure: relaxed

Lattice parameters (Å, degrees): 5.582 5.582 5.582 90.00 90.00 90.00
Space group Pm-3m (No. 221)
Unique sites:
Ca  0.000  0.000  0.500 (multiplicity 3)
Cd  0.500  0.500  0.500 (multiplicity 1)
Au  0.000  0.000  0.000 (multiplicity 1)

- calculated total energy (eV per atom) = -2.558
- ΔH_f (0 K) (meV/atom) = -253.5